Version a
## Pm3PrTm2 (PBE)

Data for crystalline Pm3PrTm2 at its relaxed geometry.

Its total magnetization is 0.000 μB per cell. The value obtained for the theoretical density is 7.412 g/cm³.

The space group is Immm (No. 71) and the conventional cell measures 3.494, 5.964 and 19.646 Å, with angles of 90.00, 90.00 and 90.00 degrees. The inequivalent atoms are Pm at (0.000, 0.000, 0.000), Pm at (0.000, 0.500, 0.192), Pr at (0.000, 0.500, 0.000) and Tm at (0.000, 0.500, 0.362).

---

Version b
## Pm3PrTm2 (PBE)

Data for crystalline Pm3PrTm2 at its relaxed geometry.

Its total magnetization is 0.000 μB per cell. The value obtained for the theoretical density is 7.652 g/cm³.

The space group is P2_1/m (No. 11) and the conventional cell measures 6.265, 3.624 and 17.589 Å, with angles of 90.00, 96.76 and 90.00 degrees. The inequivalent atoms are Pm at (0.028, 0.250, 0.333), Pm at (0.140, 0.750, 0.164), Pm at (0.252, 0.750, 0.502), Pr at (0.361, 0.750, 0.832), Tm at (0.250, 0.250, 0.000) and Tm at (0.475, 0.250, 0.667).

---

Most favorable first, least favorable last: version b, version a

---

Version a
## Pm2Pr7Tm3 (PBE)

Data for crystalline Pm2Pr7Tm3 at its relaxed geometry.

Its total magnetization is 0.000 μB per cell. The value obtained for the theoretical density is 7.116 g/cm³.

The space group is P2/m (No. 10) and the conventional cell measures 5.930, 3.658 and 19.225 Å, with angles of 90.00, 94.00 and 90.00 degrees. The inequivalent atoms are Pm at (0.203, 0.000, 0.299), Pr at (0.168, 0.500, 0.144), Pr at (0.241, 0.000, 0.465), Pr at (0.328, 0.000, 0.817), Pr at (0.500, 0.500, 0.000), Tm at (0.000, 0.000, 0.000) and Tm at (0.284, 0.500, 0.631).

---

Version b
## Pm2Pr7Tm3 (PBE)

Data for crystalline Pm2Pr7Tm3 at its relaxed geometry.

Its total magnetization is 0.000 μB per cell. The value obtained for the theoretical density is 6.769 g/cm³.

The space group is P2/m (No. 10) and the conventional cell measures 6.291, 5.532 and 12.571 Å, with angles of 90.00, 90.03 and 90.00 degrees. The inequivalent atoms are Pm at (0.104, 0.000, 0.278), Pr at (0.055, 0.500, 0.818), Pr at (0.258, 0.000, 0.545), Pr at (0.418, 0.000, 0.829), Pr at (0.500, 0.500, 0.000), Tm at (0.000, 0.000, 0.000) and Tm at (0.434, 0.500, 0.346).

---

Most favorable first, least favorable last: version a, version b

---

Version a
## PmPr5Tm4 (PBE)

Data for crystalline PmPr5Tm4 at its relaxed geometry.

Its total magnetization is 0.000 μB per cell. The value obtained for the theoretical density is 7.517 g/cm³.

The space group is P-1 (No. 2) and the conventional cell measures 3.605, 9.033 and 11.163 Å, with angles of 69.23, 82.65 and 85.90 degrees. The inequivalent atoms are Pm at (0.000, 0.000, 0.000), Pr at (0.000, 0.000, 0.500), Pr at (0.321, 0.383, 0.424), Pr at (0.499, 0.214, 0.177), Tm at (0.072, 0.417, 0.877) and Tm at (0.345, 0.796, 0.280).

---

Version b
## PmPr5Tm4 (PBE)

Data for crystalline PmPr5Tm4 at its relaxed geometry.

Its total magnetization is 0.000 μB per cell. The value obtained for the theoretical density is 7.430 g/cm³.

The space group is I4 (No. 79) and the conventional cell measures 10.340, 10.340 and 6.377 Å, with angles of 90.00, 90.00 and 90.00 degrees. The inequivalent atoms are Pm at (0.000, 0.000, 0.000), Pr at (0.000, 0.000, 0.459), Pr at (0.147, 0.763, 0.729) and Tm at (0.050, 0.650, 0.227).

---

Most favorable first, least favorable last: version a, version b

---

Version a
## Pm3Pr2Tm (PBE)

Data for crystalline Pm3Pr2Tm at its relaxed geometry.

Its total magnetization is 0.000 μB per cell. The value obtained for the theoretical density is 7.087 g/cm³.

The space group is C2/m (No. 12) and the conventional cell measures 18.209, 3.494 and 6.689 Å, with angles of 90.00, 102.76 and 90.00 degrees. The inequivalent atoms are Pm at (0.000, 0.000, 0.000), Pm at (0.170, 0.000, 0.361), Pr at (0.161, 0.500, 0.849) and Tm at (0.000, 0.000, 0.500).

---

Version b
## Pm3Pr2Tm (PBE)

Data for crystalline Pm3Pr2Tm at its relaxed geometry.

Its total magnetization is 0.000 μB per cell. The value obtained for the theoretical density is 7.035 g/cm³.

The space group is Pnnm (No. 58) and the conventional cell measures 6.818, 17.895 and 3.427 Å, with angles of 90.00, 90.00 and 90.00 degrees. The inequivalent atoms are Pm at (0.000, 0.000, 0.000), Pm at (0.244, 0.323, 0.000), Pr at (0.238, 0.151, 0.500) and Tm at (0.000, 0.500, 0.000).

---

Most favorable first, least favorable last: version a, version b

---

Version a
## PmPr7Tm12 (PBE)

Data for crystalline PmPr7Tm12 at its relaxed geometry.

Its total magnetization is 0.000 μB per cell. The value obtained for the theoretical density is 7.809 g/cm³.

The space group is R-3 (No. 148, hexagonal axes) and the conventional cell measures 11.9756, 11.9756 and 16.2235 Å, with angles of 90.00, 90.00 and 120.00 degrees. The inequivalent atoms are Pm at (0.0000, 0.0000, 0.0000), Pr at (0.0000, 0.0000, 0.5000), Pr at (0.0510, 0.8634, 0.7900), Tm at (0.0203, 0.5745, 0.7198) and Tm at (0.0507, 0.4637, 0.0838).

---

Version b
## PmPr7Tm12 (PBE)

Data for crystalline PmPr7Tm12 at its relaxed geometry.

Its total magnetization is 0.000 μB per cell. The value obtained for the theoretical density is 7.365 g/cm³.

The space group is Im-3m (No. 229) and the conventional cell measures 11.251, 11.251 and 11.251 Å, with angles of 90.00, 90.00 and 90.00 degrees. The inequivalent atoms are Pm at (0.000, 0.000, 0.000), Pr at (0.000, 0.000, 0.500), Pr at (0.250, 0.250, 0.250) and Tm at (0.000, 0.249, 0.249).

---

Most favorable first, least favorable last: version a, version b

---

Version a
## Pm4PrTm2 (PBE)

Data for crystalline Pm4PrTm2 at its relaxed geometry.

Its total magnetization is 0.000 μB per cell. The value obtained for the theoretical density is 7.539 g/cm³.

The space group is P2_1/m (No. 11) and the conventional cell measures 6.211, 6.633 and 11.708 Å, with angles of 90.00, 104.80 and 90.00 degrees. The inequivalent atoms are Pm at (0.141, 0.001, 0.288), Pm at (0.204, 0.250, 0.560), Pm at (0.343, 0.750, 0.849), Pr at (0.483, 0.750, 0.150), Tm at (0.102, 0.250, 0.001) and Tm at (0.357, 0.750, 0.562).

---

Version b
## Pm4PrTm2 (PBE)

Data for crystalline Pm4PrTm2 at its relaxed geometry.

Its total magnetization is 0.000 μB per cell. The value obtained for the theoretical density is 7.468 g/cm³.

The space group is Fdd2 (No. 43) and the conventional cell measures 11.997, 24.280 and 6.466 Å, with angles of 90.00, 90.00 and 90.00 degrees. The inequivalent atoms are Pm at (0.051, 0.072, 0.000), Pm at (0.065, 0.143, 0.525), Pr at (0.000, 0.000, 0.486) and Tm at (0.027, 0.216, 0.051).

---

Most favorable first, least favorable last: version b, version a